[1]
{
  "formula": "PuZn2Au9",
  "functional": "PBE",
  "state": "relaxed",
  "lattice_angstrom": [[-2.686, -6.602, 1.104], [5.075, -6.502, -2.977], [2.378, -3.633, 7.619]],
  "species": ["Au", "Au", "Au", "Au", "Au", "Au", "Au", "Au", "Au", "Au", "Au", "Au", "Au", "Au", "Au", "Au", "Au", "Au", "Pu", "Pu", "Zn", "Zn", "Zn", "Zn"],
  "fractional_positions": [[0.996, 0.926, 0.683], [0.321, 0.683, 0.074], [0.672, 0.574, 0.183], [0.754, 0.817, 0.574], [0.078, 0.317, 0.926], [0.605, 0.074, 0.317], [0.605, 0.317, 0.074], [0.321, 0.074, 0.683], [0.429, 0.426, 0.817], [0.078, 0.926, 0.317], [0.429, 0.817, 0.426], [0.996, 0.683, 0.926], [0.754, 0.574, 0.817], [0.145, 0.183, 0.426], [0.672, 0.183, 0.574], [0.145, 0.426, 0.183], [0.750, 0.500, 0.500], [0.000, 0.000, 0.000], [0.250, 0.500, 0.500], [0.500, 0.000, 0.000], [0.875, 0.750, 0.250], [0.875, 0.250, 0.250], [0.375, 0.750, 0.750], [0.875, 0.250, 0.750]],
  "formation_enthalpy_0k_ev_per_atom": -0.18,
  "vol_a3_per_fu": 230.44,
  "total_energy_ev_per_fu": -48.52,
  "mass_density_g_cm3": 15.48,
  "space_group": "No. 141",
  "dos_at_fermi_per_ev_fu": 21.7
}


[2]
{
  "formula": "Tb5TlCd2",
  "functional": "PBE",
  "state": "relaxed",
  "lattice_angstrom": [[-7.807, 0.286, -0.302], [-0.390, -3.051, 7.188], [4.239, 8.376, -0.466]],
  "species": ["Tl", "Tl", "Tb", "Tb", "Tb", "Tb", "Tb", "Tb", "Tb", "Tb", "Tb", "Tb", "Cd", "Cd", "Cd", "Cd"],
  "fractional_positions": [[0.750, 0.750, 0.500], [0.250, 0.250, 0.500], [0.508, 0.683, 0.691], [0.183, 0.008, 0.691], [0.008, 0.508, 0.691], [0.500, 0.500, 0.000], [0.000, 0.000, 0.000], [0.992, 0.492, 0.309], [0.683, 0.183, 0.691], [0.317, 0.817, 0.309], [0.817, 0.992, 0.309], [0.492, 0.317, 0.309], [0.130, 0.370, 0.000], [0.370, 0.870, 0.000], [0.870, 0.630, 0.000], [0.630, 0.130, 0.000]],
  "formation_enthalpy_0k_ev_per_atom": -0.21,
  "vol_a3_per_fu": 232.32,
  "e_above_lowest_polymorph_ev_per_fu": 0.05,
  "total_energy_ev_per_fu": -29.02,
  "mass_density_g_cm3": 8.75,
  "space_group": "No. 140",
  "dos_at_fermi_per_ev_fu": 8.2
}


[3]
{
  "formula": "Ac6InGe2",
  "functional": "PBE",
  "state": "relaxed",
  "lattice_angstrom": [[6.306, 0.000, 0.000], [3.153, 6.213, -1.211], [3.153, 1.379, 8.172]],
  "species": ["Ge", "Ge", "Ac", "Ac", "Ac", "Ac", "Ac", "Ac", "In"],
  "fractional_positions": [[0.723, 0.381, 0.173], [0.277, 0.619, 0.827], [0.978, 0.862, 0.182], [0.301, 0.279, 0.118], [0.699, 0.721, 0.882], [0.395, 0.763, 0.446], [0.022, 0.138, 0.818], [0.605, 0.237, 0.554], [0.000, 0.500, 0.500]],
  "formation_enthalpy_0k_ev_per_atom": -0.33,
  "vol_a3_per_fu": 330.76,
  "e_above_lowest_polymorph_ev_per_fu": 1.05,
  "total_energy_ev_per_fu": -39.59,
  "mass_density_g_cm3": 8.14,
  "space_group": "No. 12",
  "dos_at_fermi_per_ev_fu": 10.8
}


[4]
{
  "formula": "TbICl",
  "functional": "PBE",
  "state": "relaxed",
  "lattice_angstrom": [[-2.182, -2.070, 2.580], [-0.113, -0.897, -3.858], [5.778, -4.884, 0.967]],
  "species": ["Cl", "Tb", "I"],
  "fractional_positions": [[0.333, 0.667, 0.563], [0.667, 0.333, 0.352], [0.000, 0.000, 0.085]],
  "vol_a3_per_fu": 103.71,
  "e_above_lowest_polymorph_ev_per_fu": 0.07,
  "total_energy_ev_per_fu": -12.67,
  "e_form_raw_mev_per_atom": -1546,
  "mass_density_g_cm3": 5.14,
  "space_group": "No. 156",
  "dos_at_fermi_per_ev_fu": 1.6
}


[5]
{
  "formula": "Sr2Li3",
  "functional": "PBE",
  "state": "relaxed",
  "lattice_angstrom": [[8.091, 0.000, 0.000], [4.046, 7.007, 0.000], [4.046, 2.336, 6.638]],
  "species": ["Sr", "Sr", "Sr", "Sr", "Li", "Li", "Li", "Li", "Li", "Li"],
  "fractional_positions": [[0.402, 0.402, 0.794], [0.902, 0.902, 0.294], [0.598, 0.598, 0.206], [0.098, 0.098, 0.706], [0.750, 0.545, 0.750], [0.045, 0.250, 0.250], [0.545, 0.955, 0.750], [0.955, 0.750, 0.750], [0.455, 0.045, 0.250], [0.250, 0.455, 0.250]],
  "formation_enthalpy_0k_ev_per_atom": 0.25,
  "vol_a3_per_fu": 188.19,
  "e_above_lowest_polymorph_ev_per_fu": 1.19,
  "total_energy_ev_per_fu": -7.85,
  "mass_density_g_cm3": 1.73,
  "space_group": "No. 167",
  "dos_at_fermi_per_ev_fu": 4.2
}


[6]
{
  "formula": "Rb2CrIr",
  "functional": "PBE",
  "state": "relaxed",
  "lattice_angstrom": [[0.000, 3.983, 3.983], [3.983, 0.000, 3.983], [3.983, 3.983, 0.000]],
  "species": ["Ir", "Rb", "Rb", "Cr"],
  "fractional_positions": [[0.500, 0.500, 0.500], [0.250, 0.250, 0.250], [0.750, 0.750, 0.750], [0.000, 0.000, 0.000]],
  "formation_enthalpy_0k_ev_per_atom": 1.50,
  "vol_a3_per_fu": 126.36,
  "e_above_lowest_polymorph_ev_per_fu": 2.27,
  "total_energy_ev_per_fu": -14.43,
  "mass_density_g_cm3": 5.46,
  "space_group": "No. 225",
  "dos_at_fermi_per_ev_fu": 3.4
}


[7]
{
  "formula": "CaCeNi",
  "functional": "PBE",
  "state": "relaxed",
  "lattice_angstrom": [[-0.482, 4.175, -1.060], [-6.162, -1.072, -1.419], [-3.037, 0.194, 11.006]],
  "species": ["Ce", "Ce", "Ce", "Ce", "Ca", "Ca", "Ca", "Ca", "Ni", "Ni", "Ni", "Ni"],
  "fractional_positions": [[0.761, 0.783, 0.521], [0.186, 0.680, 0.373], [0.814, 0.320, 0.627], [0.239, 0.217, 0.479], [0.562, 0.729, 0.125], [0.438, 0.271, 0.875], [0.084, 0.213, 0.169], [0.916, 0.787, 0.831], [0.327, 0.581, 0.655], [0.673, 0.419, 0.345], [0.331, 0.960, 0.662], [0.669, 0.040, 0.338]],
  "formation_enthalpy_0k_ev_per_atom": -0.14,
  "vol_a3_per_fu": 77.85,
  "e_above_lowest_polymorph_ev_per_fu": 0.00,
  "total_energy_ev_per_fu": -14.13,
  "mass_density_g_cm3": 5.10,
  "space_group": "No. 12",
  "dos_at_fermi_per_ev_fu": 4.6
}


[8]
{
  "formula": "Ge2OsBrCl",
  "functional": "PBE",
  "state": "relaxed",
  "lattice_angstrom": [[-2.901, -4.670, -0.149], [3.515, -2.236, 1.634], [-1.779, 0.942, 5.118]],
  "species": ["Br", "Ge", "Ge", "Cl", "Os"],
  "fractional_positions": [[0.000, 0.000, 0.000], [0.500, 0.000, 0.000], [0.000, 0.000, 0.500], [0.500, 0.500, 0.500], [0.000, 0.500, 0.000]],
  "vol_a3_per_fu": 135.34,
  "total_energy_ev_per_fu": -16.59,
  "e_form_raw_mev_per_atom": 1479,
  "mass_density_g_cm3": 5.53,
  "space_group": "No. 123",
  "dos_at_fermi_per_ev_fu": 1.6
}


[9]
{
  "formula": "Er3Rh",
  "functional": "PBE",
  "state": "relaxed",
  "lattice_angstrom": [[6.262, 0.000, 0.000], [0.000, 7.115, 0.000], [0.000, 0.000, 9.324]],
  "species": ["Er", "Er", "Er", "Er", "Er", "Er", "Er", "Er", "Er", "Er", "Er", "Er", "Rh", "Rh", "Rh", "Rh"],
  "fractional_positions": [[0.866, 0.965, 0.750], [0.327, 0.822, 0.937], [0.366, 0.535, 0.250], [0.827, 0.678, 0.437], [0.827, 0.678, 0.063], [0.327, 0.822, 0.563], [0.634, 0.465, 0.750], [0.134, 0.035, 0.250], [0.673, 0.178, 0.437], [0.173, 0.322, 0.563], [0.173, 0.322, 0.937], [0.673, 0.178, 0.063], [0.448, 0.116, 0.750], [0.552, 0.884, 0.250], [0.948, 0.384, 0.250], [0.052, 0.616, 0.750]],
  "formation_enthalpy_0k_ev_per_atom": -0.55,
  "vol_a3_per_fu": 103.86,
  "total_energy_ev_per_fu": -23.26,
  "mass_density_g_cm3": 9.67,
  "space_group": "No. 62",
  "dos_at_fermi_per_ev_fu": 4.5
}


[10]
{
  "formula": "SrLaI5",
  "functional": "PBE",
  "state": "relaxed",
  "lattice_angstrom": [[-1.520, -1.520, -4.066], [-4.417, -6.302, 4.007], [-12.298, 8.814, 1.300]],
  "species": ["I", "I", "I", "I", "I", "I", "I", "I", "I", "I", "Sr", "Sr", "La", "La"],
  "fractional_positions": [[0.250, 0.328, 0.741], [0.750, 0.963, 0.685], [0.750, 0.678, 0.873], [0.750, 0.298, 0.481], [0.250, 0.037, 0.315], [0.250, 0.702, 0.519], [0.750, 0.156, 0.939], [0.250, 0.844, 0.061], [0.250, 0.322, 0.127], [0.750, 0.672, 0.259], [0.250, 0.450, 0.353], [0.750, 0.550, 0.647], [0.750, 0.044, 0.160], [0.250, 0.956, 0.840]],
  "vol_a3_per_fu": 302.88,
  "e_above_lowest_polymorph_ev_per_fu": 0.13,
  "total_energy_ev_per_fu": -25.23,
  "e_form_raw_mev_per_atom": -1553,
  "mass_density_g_cm3": 4.72,
  "space_group": "No. 11",
  "dos_at_fermi_per_ev_fu": 0.0
}


[11]
{
  "formula": "La2Zn5Pd5",
  "functional": "PBE",
  "state": "relaxed",
  "lattice_angstrom": [[4.374, 0.000, 0.000], [0.000, 5.372, 0.000], [0.000, 0.000, 9.458]],
  "species": ["La", "La", "Zn", "Zn", "Zn", "Zn", "Zn", "Pd", "Pd", "Pd", "Pd", "Pd"],
  "fractional_positions": [[0.000, 0.000, 0.500], [0.000, 0.500, 0.000], [0.500, 0.249, 0.249], [0.500, 0.249, 0.751], [0.500, 0.751, 0.751], [0.500, 0.500, 0.500], [0.500, 0.751, 0.249], [0.500, 0.000, 0.000], [0.000, 0.000, 0.819], [0.000, 0.500, 0.667], [0.000, 0.000, 0.181], [0.000, 0.500, 0.333]],
  "formation_enthalpy_0k_ev_per_atom": -0.65,
  "vol_a3_per_fu": 222.25,
  "total_energy_ev_per_fu": -50.01,
  "mass_density_g_cm3": 8.49,
  "space_group": "No. 47",
  "dos_at_fermi_per_ev_fu": 6.4
}


[12]
{
  "formula": "BaSrPCl2",
  "functional": "PBE",
  "state": "relaxed",
  "lattice_angstrom": [[5.453, 0.000, 0.000], [0.000, 5.453, 0.000], [0.000, 0.000, 5.933]],
  "species": ["Ba", "P", "Cl", "Cl", "Sr"],
  "fractional_positions": [[0.500, 0.500, 0.500], [0.000, 0.000, 0.500], [0.500, 0.000, 0.000], [0.000, 0.500, 0.000], [0.000, 0.000, 0.000]],
  "vol_a3_per_fu": 176.42,
  "e_above_lowest_polymorph_ev_per_fu": 0.00,
  "total_energy_ev_per_fu": -19.88,
  "e_form_raw_mev_per_atom": -1434,
  "mass_density_g_cm3": 3.08,
  "space_group": "No. 123",
  "dos_at_fermi_per_ev_fu": 3.7
}


[13]
{
  "formula": "Fe2P2Pd",
  "functional": "PBE",
  "state": "relaxed",
  "lattice_angstrom": [[-3.240, 0.122, 1.265], [-1.248, -0.964, -3.103], [-1.885, -5.397, 0.482]],
  "species": ["P", "P", "Fe", "Fe", "Pd"],
  "fractional_positions": [[0.250, 0.750, 0.500], [0.750, 0.250, 0.500], [0.382, 0.382, 0.236], [0.618, 0.618, 0.764], [0.000, 0.000, 0.000]],
  "formation_enthalpy_0k_ev_per_atom": -0.12,
  "vol_a3_per_fu": 62.78,
  "e_above_lowest_polymorph_ev_per_fu": 1.06,
  "total_energy_ev_per_fu": -33.54,
  "mass_density_g_cm3": 7.41,
  "space_group": "No. 139",
  "dos_at_fermi_per_ev_fu": 5.4
}


[14]
{
  "formula": "Pm5Pr2SmMg",
  "functional": "PBE",
  "state": "relaxed",
  "lattice_angstrom": [[5.599, 0.000, 0.000], [-2.800, 10.185, 0.000], [0.000, 0.000, 10.798]],
  "species": ["Pr", "Pr", "Pr", "Pr", "Pm", "Pm", "Pm", "Pm", "Pm", "Pm", "Pm", "Pm", "Pm", "Pm", "Mg", "Mg", "Sm", "Sm"],
  "fractional_positions": [[0.115, 0.231, 0.299], [0.885, 0.769, 0.218], [0.885, 0.769, 0.799], [0.115, 0.231, 0.718], [0.619, 0.238, 0.509], [0.288, 0.576, 0.311], [0.711, 0.423, 0.206], [0.014, 0.027, 0.008], [0.289, 0.577, 0.706], [0.499, 0.999, 0.758], [0.501, 0.001, 0.258], [0.381, 0.762, 0.009], [0.986, 0.973, 0.508], [0.712, 0.424, 0.811], [0.405, 0.811, 0.507], [0.595, 0.189, 0.007], [0.201, 0.402, 0.009], [0.799, 0.598, 0.509]],
  "formation_enthalpy_0k_ev_per_atom": 0.08,
  "vol_a3_per_fu": 307.89,
  "total_energy_ev_per_fu": -38.86,
  "mass_density_g_cm3": 6.37,
  "space_group": "No. 36",
  "dos_at_fermi_per_ev_fu": 13.0
}


[15]
{
  "formula": "TaGaTc",
  "functional": "PBE",
  "state": "relaxed",
  "lattice_angstrom": [[-2.692, -1.531, 1.046], [1.797, -1.699, 2.137], [-0.174, 4.788, 1.454]],
  "species": ["Ga", "Ta", "Tc"],
  "fractional_positions": [[0.289, 0.289, 0.578], [0.610, 0.610, 0.220], [0.951, 0.951, 0.902]],
  "formation_enthalpy_0k_ev_per_atom": -0.25,
  "vol_a3_per_fu": 47.45,
  "e_above_lowest_polymorph_ev_per_fu": 0.00,
  "total_energy_ev_per_fu": -26.01,
  "mass_density_g_cm3": 12.20,
  "space_group": "No. 107",
  "dos_at_fermi_per_ev_fu": 3.2
}


[16]
{
  "formula": "CrCd3As",
  "functional": "PBE",
  "state": "relaxed",
  "lattice_angstrom": [[-0.052, 2.664, 4.464], [2.861, -3.713, 2.249], [4.341, 2.479, -1.429]],
  "species": ["Cr", "Cd", "Cd", "Cd", "As"],
  "fractional_positions": [[0.000, 0.000, 0.000], [0.500, 0.000, 0.000], [0.000, 0.000, 0.500], [0.000, 0.500, 0.000], [0.500, 0.500, 0.500]],
  "formation_enthalpy_0k_ev_per_atom": 0.88,
  "vol_a3_per_fu": 140.54,
  "e_above_lowest_polymorph_ev_per_fu": 0.65,
  "total_energy_ev_per_fu": -12.62,
  "mass_density_g_cm3": 5.48,
  "space_group": "No. 221",
  "dos_at_fermi_per_ev_fu": 3.7
}


[17]
{
  "formula": "PmTmGa4",
  "functional": "PBE",
  "state": "relaxed",
  "lattice_angstrom": [[4.228, 0.000, 0.000], [-2.114, 3.661, 0.000], [0.000, 0.000, 8.281]],
  "species": ["Ga", "Ga", "Ga", "Ga", "Pm", "Tm"],
  "fractional_positions": [[0.333, 0.667, 0.241], [0.667, 0.333, 0.759], [0.333, 0.667, 0.759], [0.667, 0.333, 0.241], [0.000, 0.000, 0.500], [0.000, 0.000, 0.000]],
  "formation_enthalpy_0k_ev_per_atom": -0.64,
  "vol_a3_per_fu": 128.17,
  "e_above_lowest_polymorph_ev_per_fu": 0.00,
  "total_energy_ev_per_fu": -25.17,
  "mass_density_g_cm3": 7.68,
  "space_group": "No. 191",
  "dos_at_fermi_per_ev_fu": 3.1
}


[18]
{
  "formula": "YHo6Sc2",
  "functional": "PBE",
  "state": "relaxed",
  "lattice_angstrom": [[-4.303, 1.499, 4.633], [4.482, -3.031, 7.521], [2.762, 8.573, 2.171]],
  "species": ["Ho", "Ho", "Ho", "Ho", "Ho", "Ho", "Ho", "Ho", "Ho", "Ho", "Ho", "Ho", "Y", "Y", "Sc", "Sc", "Sc", "Sc"],
  "fractional_positions": [[0.501, 0.383, 0.671], [0.499, 0.617, 0.329], [0.816, 0.967, 0.792], [0.235, 0.462, 0.051], [0.001, 0.671, 0.383], [0.999, 0.329, 0.617], [0.765, 0.538, 0.949], [0.316, 0.792, 0.967], [0.735, 0.051, 0.462], [0.684, 0.208, 0.033], [0.265, 0.949, 0.538], [0.184, 0.033, 0.208], [0.750, 0.860, 0.140], [0.250, 0.140, 0.860], [0.626, 0.710, 0.653], [0.126, 0.653, 0.710], [0.874, 0.347, 0.290], [0.374, 0.290, 0.347]],
  "formation_enthalpy_0k_ev_per_atom": 0.13,
  "vol_a3_per_fu": 269.60,
  "e_above_lowest_polymorph_ev_per_fu": 0.51,
  "total_energy_ev_per_fu": -45.39,
  "mass_density_g_cm3": 7.20,
  "space_group": "No. 15",
  "dos_at_fermi_per_ev_fu": 9.7
}


[19]
{
  "formula": "SrCd3Se4O12",
  "functional": "PBE",
  "state": "relaxed",
  "lattice_angstrom": [[-2.785, -0.461, 6.576], [4.753, -5.334, -0.407], [3.903, 5.998, 0.028]],
  "species": ["O", "O", "O", "O", "O", "O", "O", "O", "O", "O", "O", "O", "Se", "Se", "Se", "Se", "Sr", "Cd", "Cd", "Cd"],
  "fractional_positions": [[0.660, 0.500, 0.340], [0.654, 0.767, 0.989], [0.233, 0.346, 0.011], [0.943, 0.500, 0.057], [0.346, 0.011, 0.233], [0.340, 0.660, 0.500], [0.057, 0.943, 0.500], [0.767, 0.989, 0.654], [0.500, 0.340, 0.660], [0.011, 0.233, 0.346], [0.989, 0.654, 0.767], [0.500, 0.057, 0.943], [0.500, 0.907, 0.093], [0.093, 0.500, 0.907], [0.907, 0.093, 0.500], [0.500, 0.500, 0.500], [0.000, 0.000, 0.000], [0.436, 0.000, 0.564], [0.000, 0.564, 0.436], [0.564, 0.436, 0.000]],
  "vol_a3_per_fu": 318.80,
  "total_energy_ev_per_fu": -93.70,
  "e_form_raw_mev_per_atom": -792,
  "mass_density_g_cm3": 4.86,
  "space_group": "No. 155",
  "dos_at_fermi_per_ev_fu": 6.5
}


[20]
{
  "formula": "KNa2AlAu",
  "functional": "PBE",
  "state": "relaxed",
  "lattice_angstrom": [[5.776, 0.000, 0.000], [0.000, 5.776, 0.000], [0.000, 0.000, 4.889]],
  "species": ["K", "Na", "Na", "Au", "Al"],
  "fractional_positions": [[0.500, 0.500, 0.500], [0.000, 0.500, 0.000], [0.500, 0.000, 0.000], [0.000, 0.000, 0.000], [0.000, 0.000, 0.500]],
  "formation_enthalpy_0k_ev_per_atom": -0.11,
  "vol_a3_per_fu": 163.14,
  "total_energy_ev_per_fu": -11.32,
  "mass_density_g_cm3": 3.15,
  "space_group": "No. 123",
  "dos_at_fermi_per_ev_fu": 2.0
}